Record 1
The following is a PBE calculation of a relaxed structure of La2Pr3Nd3, from the Alexandria database.

abc: 3.626 8.903 18.452
angles: 90.00 90.00 101.75
Fractional coordinates of all 16 atoms:
La (0.760, 0.520, 0.654)
La (0.240, 0.480, 0.154)
La (0.760, 0.520, 0.846)
La (0.240, 0.480, 0.346)
Pr (0.654, 0.307, 0.002)
Pr (0.346, 0.693, 0.502)
Pr (0.654, 0.307, 0.498)
Pr (0.346, 0.693, 0.998)
Pr (0.405, 0.809, 0.250)
Pr (0.595, 0.191, 0.750)
Nd (0.998, 0.996, 0.102)
Nd (0.002, 0.004, 0.602)
Nd (0.998, 0.996, 0.398)
Nd (0.002, 0.004, 0.898)
Nd (0.594, 0.189, 0.250)
Nd (0.406, 0.811, 0.750)

=====

Record 2
The following is a PBE calculation of a relaxed structure of La6Pr12Nd, from the Alexandria database.

abc: 9.137 9.850 9.850
angles: 69.11 71.99 108.01
Fractional coordinates of all 19 atoms:
La (0.421, 0.475, 0.210)
La (0.054, 0.685, 0.525)
La (0.369, 0.790, 0.685)
La (0.579, 0.525, 0.790)
La (0.946, 0.315, 0.475)
La (0.631, 0.210, 0.315)
Pr (0.527, 0.842, 0.263)
Pr (0.685, 0.894, 0.842)
Pr (0.790, 0.263, 0.894)
Pr (0.473, 0.158, 0.737)
Pr (0.315, 0.106, 0.158)
Pr (0.210, 0.737, 0.106)
Pr (0.262, 0.420, 0.632)
Pr (0.106, 0.368, 0.051)
Pr (0.157, 0.051, 0.580)
Pr (0.738, 0.580, 0.368)
Pr (0.894, 0.632, 0.949)
Pr (0.843, 0.949, 0.420)
Nd (0.000, 0.000, 0.000)

=====

Record 3
The following is a PBE calculation of a relaxed structure of LaPr2Nd, from the Alexandria database.

abc: 5.257 5.241 5.241
angles: 90.00 90.00 90.00
Fractional coordinates of all 4 atoms:
Pr (0.000, 0.000, 0.500)
Pr (0.000, 0.500, 0.000)
Nd (0.500, 0.500, 0.500)
La (0.500, 0.000, 0.000)

=====

Record 4
The following is a PBE calculation of a relaxed structure of La4Pr3Nd, from the Alexandria database.

abc: 3.518 9.187 9.187
angles: 98.26 90.00 90.00
Fractional coordinates of all 8 atoms:
La (0.000, 0.751, 0.751)
La (0.500, 0.249, 0.751)
La (0.000, 0.249, 0.249)
La (0.500, 0.751, 0.249)
Pr (0.000, 0.000, 0.500)
Pr (0.500, 0.500, 0.500)
Pr (0.000, 0.500, 0.000)
Nd (0.500, 0.000, 0.000)

=====

Record 5
The following is a PBE calculation of a relaxed structure of La6PrNd3, from the Alexandria database.

abc: 10.190 10.190 7.174
angles: 44.75 44.75 60.00
Fractional coordinates of all 10 atoms:
La (0.895, 0.583, 0.291)
La (0.230, 0.895, 0.291)
La (0.583, 0.230, 0.291)
La (0.084, 0.395, 0.791)
La (0.730, 0.084, 0.791)
La (0.395, 0.730, 0.791)
Pr (0.893, 0.893, 0.321)
Nd (0.393, 0.393, 0.821)
Nd (0.647, 0.647, 0.058)
Nd (0.149, 0.149, 0.554)

=====

Record 6
The following is a PBE calculation of a relaxed structure of La8PrNd2, from the Alexandria database.

abc: 6.171 9.718 9.718
angles: 122.45 105.92 105.92
Fractional coordinates of all 11 atoms:
La (0.815, 0.903, 0.665)
La (0.815, 0.665, 0.903)
La (0.298, 0.577, 0.577)
La (0.500, 0.795, 0.205)
La (0.500, 0.205, 0.795)
La (0.702, 0.423, 0.423)
La (0.185, 0.335, 0.097)
La (0.185, 0.097, 0.335)
Pr (0.500, 0.000, 0.000)
Nd (0.000, 0.310, 0.690)
Nd (0.000, 0.690, 0.310)

=====

Record 7
The following is a PBE calculation of a relaxed structure of LaPr5Nd3, from the Alexandria database.

abc: 6.635 12.204 11.585
angles: 129.95 90.00 105.77
Fractional coordinates of all 18 atoms:
La (0.867, 0.000, 0.750)
La (0.133, 0.000, 0.250)
Pr (0.405, 0.000, 0.750)
Pr (0.650, 0.662, 0.029)
Pr (0.866, 0.337, 0.126)
Pr (0.350, 0.338, 0.971)
Pr (0.528, 0.663, 0.374)
Pr (0.595, 0.000, 0.250)
Pr (0.011, 0.662, 0.529)
Pr (0.989, 0.338, 0.471)
Pr (0.472, 0.337, 0.626)
Pr (0.134, 0.663, 0.874)
Nd (0.000, 0.000, 0.000)
Nd (0.464, 0.322, 0.307)
Nd (0.000, 0.000, 0.500)
Nd (0.536, 0.678, 0.693)
Nd (0.858, 0.322, 0.807)
Nd (0.142, 0.678, 0.193)

=====

Record 8
The following is a PBE calculation of a relaxed structure of La3Pr7Nd, from the Alexandria database.

abc: 6.092 8.755 8.755
angles: 82.67 110.35 110.35
Fractional coordinates of all 11 atoms:
La (0.000, 0.790, 0.210)
La (0.500, 0.000, 0.000)
La (0.000, 0.210, 0.790)
Pr (0.208, 0.208, 0.208)
Pr (0.299, 0.001, 0.597)
Pr (0.701, 0.403, 0.999)
Pr (0.299, 0.597, 0.001)
Pr (0.000, 0.500, 0.500)
Pr (0.701, 0.999, 0.403)
Pr (0.792, 0.792, 0.792)
Nd (0.500, 0.500, 0.500)

=====

Record 9
The following is a PBE calculation of a relaxed structure of LaPrNd4, from the Alexandria database.

abc: 7.141 7.141 9.865
angles: 90.00 90.00 120.75
Fractional coordinates of all 12 atoms:
La (0.184, 0.816, 0.750)
La (0.816, 0.184, 0.250)
Pr (0.000, 0.000, 0.000)
Pr (0.000, 0.000, 0.500)
Nd (0.661, 0.339, 0.924)
Nd (0.339, 0.661, 0.424)
Nd (0.339, 0.661, 0.076)
Nd (0.661, 0.339, 0.576)
Nd (0.366, 0.174, 0.250)
Nd (0.634, 0.826, 0.750)
Nd (0.174, 0.366, 0.750)
Nd (0.826, 0.634, 0.250)

=====

Record 10
The following is a PBE calculation of a relaxed structure of La2Pr4Nd5, from the Alexandria database.

abc: 3.598 9.516 12.966
angles: 111.53 97.98 90.00
Fractional coordinates of all 11 atoms:
La (0.269, 0.269, 0.538)
La (0.731, 0.731, 0.462)
Pr (0.000, 0.301, 0.000)
Pr (0.597, 0.597, 0.194)
Pr (0.000, 0.699, 0.000)
Pr (0.403, 0.403, 0.806)
Nd (0.856, 0.049, 0.712)
Nd (0.856, 0.663, 0.712)
Nd (0.144, 0.337, 0.288)
Nd (0.144, 0.951, 0.288)
Nd (0.500, 0.000, 0.000)

=====

Record 11
The following is a PBE calculation of a relaxed structure of LaPr4Nd2, from the Alexandria database.

abc: 7.202 7.142 10.689
angles: 90.00 89.99 107.11
Fractional coordinates of all 14 atoms:
Pr (0.270, 0.310, 0.286)
Pr (0.731, 0.189, 0.218)
Pr (0.269, 0.811, 0.782)
Pr (0.730, 0.690, 0.714)
Pr (0.729, 0.689, 0.286)
Pr (0.731, 0.189, 0.782)
Pr (0.269, 0.811, 0.218)
Pr (0.271, 0.311, 0.714)
Nd (0.000, 0.000, 0.000)
Nd (0.000, 0.000, 0.500)
Nd (0.000, 0.500, 0.500)
Nd (0.500, 0.000, 0.500)
La (0.500, 0.500, 0.000)
La (0.000, 0.500, 0.000)

=====

Record 12
The following is a PBE calculation of a relaxed structure of La3Pr2Nd4, from the Alexandria database.

abc: 6.428 6.426 13.355
angles: 118.60 103.87 120.06
Fractional coordinates of all 9 atoms:
La (0.556, 0.112, 0.667)
La (0.000, 0.000, 0.000)
La (0.444, 0.888, 0.333)
Pr (0.778, 0.555, 0.333)
Pr (0.222, 0.445, 0.667)
Nd (0.666, 0.334, 0.000)
Nd (0.334, 0.666, 0.000)
Nd (0.890, 0.779, 0.667)
Nd (0.110, 0.221, 0.333)

=====

Record 13
The following is a PBE calculation of a relaxed structure of La9PrNd2, from the Alexandria database.

abc: 5.247 5.247 15.742
angles: 90.00 90.00 90.00
Fractional coordinates of all 12 atoms:
La (0.500, 0.500, 0.000)
La (0.500, 0.500, 0.334)
La (0.500, 0.500, 0.666)
La (0.500, 0.000, 0.167)
La (0.500, 0.000, 0.500)
La (0.500, 0.000, 0.833)
La (0.000, 0.500, 0.167)
La (0.000, 0.500, 0.500)
La (0.000, 0.500, 0.833)
Pr (0.000, 0.000, 0.000)
Nd (0.000, 0.000, 0.333)
Nd (0.000, 0.000, 0.667)

=====

Record 14
The following is a PBE calculation of a relaxed structure of LaPr12Nd3, from the Alexandria database.

abc: 5.251 5.251 20.968
angles: 90.00 90.00 90.00
Fractional coordinates of all 16 atoms:
La (0.000, 0.000, 0.000)
Pr (0.500, 0.500, 0.000)
Pr (0.500, 0.500, 0.251)
Pr (0.500, 0.500, 0.500)
Pr (0.500, 0.500, 0.749)
Pr (0.500, 0.000, 0.126)
Pr (0.500, 0.000, 0.375)
Pr (0.500, 0.000, 0.625)
Pr (0.500, 0.000, 0.874)
Pr (0.000, 0.500, 0.126)
Pr (0.000, 0.500, 0.375)
Pr (0.000, 0.500, 0.625)
Pr (0.000, 0.500, 0.874)
Nd (0.000, 0.000, 0.250)
Nd (0.000, 0.000, 0.500)
Nd (0.000, 0.000, 0.750)

=====

Record 15
The following is a PBE calculation of a relaxed structure of LaPr3Nd6, from the Alexandria database.

abc: 6.497 11.288 11.288
angles: 120.34 90.00 90.00
Fractional coordinates of all 20 atoms:
La (0.099, 0.188, 0.812)
La (0.599, 0.812, 0.188)
Pr (0.463, 0.942, 0.707)
Pr (0.963, 0.707, 0.942)
Pr (0.091, 0.383, 0.617)
Pr (0.591, 0.617, 0.383)
Pr (0.963, 0.058, 0.293)
Pr (0.463, 0.293, 0.058)
Nd (0.054, 0.710, 0.628)
Nd (0.554, 0.628, 0.710)
Nd (0.379, 0.532, 0.948)
Nd (0.879, 0.948, 0.532)
Nd (0.366, 0.964, 0.036)
Nd (0.641, 0.282, 0.718)
Nd (0.141, 0.718, 0.282)
Nd (0.866, 0.036, 0.964)
Nd (0.379, 0.052, 0.468)
Nd (0.879, 0.468, 0.052)
Nd (0.054, 0.372, 0.290)
Nd (0.554, 0.290, 0.372)

=====

Record 16
The following is a PBE calculation of a relaxed structure of La2Pr3Nd7, from the Alexandria database.

abc: 3.636 6.579 18.632
angles: 75.76 90.00 90.00
Fractional coordinates of all 12 atoms:
La (0.500, 0.613, 0.330)
La (0.500, 0.387, 0.670)
Pr (0.500, 0.500, 0.000)
Pr (0.000, 0.114, 0.339)
Pr (0.000, 0.886, 0.661)
Nd (0.500, 0.243, 0.501)
Nd (0.500, 0.757, 0.499)
Nd (0.000, 0.562, 0.165)
Nd (0.000, 0.000, 0.000)
Nd (0.000, 0.438, 0.835)
Nd (0.500, 0.940, 0.834)
Nd (0.500, 0.060, 0.166)

=====

Record 17
The following is a PBE calculation of a relaxed structure of La3Pr2Nd2, from the Alexandria database.

abc: 3.712 12.325 6.442
angles: 69.76 73.35 98.83
Fractional coordinates of all 7 atoms:
La (0.000, 0.000, 0.000)
La (0.573, 0.429, 0.285)
La (0.427, 0.571, 0.715)
Pr (0.857, 0.143, 0.429)
Pr (0.143, 0.857, 0.571)
Nd (0.714, 0.286, 0.858)
Nd (0.286, 0.714, 0.142)

=====

Record 18
The following is a PBE calculation of a relaxed structure of La2PrNd, from the Alexandria database.

abc: 3.734 3.734 12.291
angles: 81.27 81.27 60.03
Fractional coordinates of all 4 atoms:
La (0.083, 0.083, 0.749)
La (0.249, 0.249, 0.252)
Pr (0.668, 0.668, 0.997)
Nd (0.499, 0.499, 0.501)

=====

Record 19
The following is a PBE calculation of a relaxed structure of La2PrNd7, from the Alexandria database.

abc: 3.533 15.281 15.281
angles: 154.07 90.00 90.00
Fractional coordinates of all 10 atoms:
La (0.500, 0.704, 0.296)
La (0.500, 0.296, 0.704)
Pr (0.000, 0.000, 0.000)
Nd (0.000, 0.811, 0.189)
Nd (0.000, 0.189, 0.811)
Nd (0.500, 0.147, 0.346)
Nd (0.500, 0.853, 0.654)
Nd (0.500, 0.346, 0.147)
Nd (0.500, 0.654, 0.853)
Nd (0.500, 0.500, 0.500)

=====

Record 20
The following is a PBE calculation of a relaxed structure of La2Pr2Nd, from the Alexandria database.

abc: 6.531 7.056 8.968
angles: 113.17 90.00 90.00
Fractional coordinates of all 10 atoms:
La (0.750, 0.403, 0.337)
La (0.250, 0.066, 0.663)
La (0.250, 0.597, 0.663)
La (0.750, 0.934, 0.337)
Pr (0.750, 0.407, 0.813)
Pr (0.750, 0.829, 0.657)
Pr (0.250, 0.593, 0.187)
Pr (0.250, 0.171, 0.343)
Nd (0.000, 0.000, 0.000)
Nd (0.500, 0.000, 0.000)

=====

| no. | calculated density (g/cm3) | energy of formation from the pure elements (eV per atom) |
| --- | --- | --- |
| 1 | 6.45 | 0.11 |
| 2 | 6.38 | 0.01 |
| 3 | 6.50 | 0.01 |
| 4 | 6.34 | 0.32 |
| 5 | 6.33 | 0.18 |
| 6 | 6.33 | 0.11 |
| 7 | 6.30 | 0.24 |
| 8 | 6.26 | 0.20 |
| 9 | 6.58 | 0.20 |
| 10 | 6.35 | 0.20 |
| 11 | 6.26 | 0.18 |
| 12 | 6.51 | 0.01 |
| 13 | 6.43 | 0.00 |
| 14 | 6.50 | 0.01 |
| 15 | 6.63 | 0.13 |
| 16 | 6.57 | 0.07 |
| 17 | 6.45 | 0.02 |
| 18 | 6.39 | 0.01 |
| 19 | 6.58 | 0.14 |
| 20 | 6.15 | 0.26 |